DFT (meta-GGA SCAN) results for CaRuN3 at its PBEsol-relaxed geometry.

Lattice parameters (Å, degrees): 3.847 3.847 3.847 90.00 90.00 90.00
Space group Pm-3m (No. 221)
Asymmetric unit:
Ca 0.000 0.000 0.000 [1 per cell]
Ru 0.500 0.500 0.500 [1 per cell]
N 0.000 0.500 0.500 [3 per cell]

## Properties
- formation energy from raw total energies (kcal/mol of atoms) = 3.1



DFT (meta-GGA SCAN) results for HfFe2Si2 at its PBEsol-relaxed geometry.

Lattice parameters (Å, degrees): 7.344 6.928 4.976 90.00 90.00 90.00
Space group Pbcm (No. 57)
Asymmetric unit:
Hf 0.249 0.092 0.250 [4 per cell]
Fe 0.109 0.017 0.750 [4 per cell]
Fe 0.390 0.750 0.000 [4 per cell]
Si 0.057 0.750 0.000 [4 per cell]
Si 0.415 0.048 0.750 [4 per cell]

## Properties
- formation energy from raw total energies (kcal/mol of atoms) = -13.6



DFT (meta-GGA SCAN) results for MgTaIr2 at its PBEsol-relaxed geometry.

Lattice parameters (Å, degrees): 2.989 2.989 6.916 90.00 90.00 90.00
Space group P4/mmm (No. 123)
Asymmetric unit:
Mg 0.000 0.000 0.000 [1 per cell]
Ta 0.000 0.000 0.500 [1 per cell]
Ir 0.500 0.500 0.255 [2 per cell]

## Properties
- DFT formation energy (eV/atom) = -0.7097
- E above lowest polymorph (meV/atom) = 73



DFT (meta-GGA SCAN) results for ReAsIr2 at its PBEsol-relaxed geometry.

Lattice parameters (Å, degrees): 2.731 4.742 9.295 90.00 90.00 90.00
Space group Cmm2 (No. 35)
Asymmetric unit:
Re 0.000 0.000 0.000 [2 per cell]
As 0.000 0.500 0.734 [2 per cell]
Ir 0.000 0.000 0.493 [2 per cell]
Ir 0.000 0.500 0.238 [2 per cell]

## Properties
- DFT formation energy (eV/atom) = 0.5226



DFT (meta-GGA SCAN) results for AgCl2 at its PBEsol-relaxed geometry.

Lattice parameters (Å, degrees): 4.2988 4.2988 7.9971 90.00 90.00 120.00
Space group P6_3/mmc (No. 194)
Asymmetric unit:
Ag 0.3333 0.6667 0.2500 [2 per cell]
Cl 0.0000 0.0000 0.0000 [2 per cell]
Cl 0.3333 0.6667 0.7500 [2 per cell]

## Properties
- formation energy from raw total energies (kcal/mol of atoms) = -1.6



DFT (meta-GGA SCAN) results for CaAuS2N at its PBEsol-relaxed geometry.

Lattice parameters (Å, degrees): 4.220 4.220 4.504 90.00 90.00 90.00
Space group P4/mmm (No. 123)
Asymmetric unit:
Ca 0.000 0.000 0.000 [1 per cell]
Au 0.500 0.500 0.000 [1 per cell]
S 0.000 0.500 0.500 [2 per cell]
N 0.000 0.000 0.500 [1 per cell]

## Properties
- formation energy from raw total energies (kcal/mol of atoms) = 5.0



DFT (meta-GGA SCAN) results for Be2AlPt2 at its PBEsol-relaxed geometry.

Lattice parameters (Å, degrees): 3.128 3.128 12.650 90.00 90.00 90.00
Space group I4/mmm (No. 139)
Asymmetric unit:
Be 0.000 0.500 0.250 [4 per cell]
Al 0.000 0.000 0.000 [2 per cell]
Pt 0.000 0.000 0.388 [4 per cell]

## Properties
- DFT formation energy (eV/atom) = -0.8739



DFT (meta-GGA SCAN) results for Ca2AgPd2 at its PBEsol-relaxed geometry.

Lattice parameters (Å, degrees): 4.464 5.661 8.356 90.00 90.00 90.00
Space group Immm (No. 71)
Asymmetric unit:
Ca 0.000 0.000 0.201 [4 per cell]
Ag 0.000 0.500 0.000 [2 per cell]
Pd 0.000 0.266 0.500 [4 per cell]

## Properties
- DFT formation energy (eV/atom) = -0.6363
- E above lowest polymorph (meV/atom) = 0



DFT (meta-GGA SCAN) results for Zr2ZnP at its PBEsol-relaxed geometry.

Lattice parameters (Å, degrees): 3.721 3.700 9.936 90.00 90.00 90.00
Space group Amm2 (No. 38)
Asymmetric unit:
Zr 0.000 0.000 0.000 [2 per cell]
Zr 0.500 0.000 0.295 [2 per cell]
Zn 0.500 0.000 0.569 [2 per cell]
P 0.000 0.000 0.725 [2 per cell]

## Properties
- DFT formation energy (eV/atom) = -0.9604



DFT (meta-GGA SCAN) results for Nb3B2 at its PBEsol-relaxed geometry.

Lattice parameters (Å, degrees): 6.189 6.189 3.281 90.00 90.00 90.00
Space group P4/mbm (No. 127)
Asymmetric unit:
Nb 0.000 0.000 0.000 [2 per cell]
Nb 0.178 0.322 0.500 [4 per cell]
B 0.106 0.606 0.000 [4 per cell]

## Properties
- DFT formation energy (eV/atom) = -0.6576



DFT (meta-GGA SCAN) results for SrLaW2 at its PBEsol-relaxed geometry.

Lattice parameters (Å, degrees): 8.217 3.250 8.301 90.00 93.20 90.00
Space group Cm (No. 8)
Asymmetric unit:
Sr 0.000 0.000 0.000 [2 per cell]
La 0.282 0.500 0.404 [2 per cell]
W 0.028 0.500 0.630 [2 per cell]
W 0.249 0.000 0.745 [2 per cell]

## Properties
- DFT formation energy (eV/atom) = 0.7633



DFT (meta-GGA SCAN) results for Ca2GaAg2 at its PBEsol-relaxed geometry.

Lattice parameters (Å, degrees): 7.424 7.424 4.181 90.00 90.00 90.00
Space group P4/mbm (No. 127)
Asymmetric unit:
Ca 0.176 0.324 0.000 [4 per cell]
Ga 0.000 0.000 0.500 [2 per cell]
Ag 0.130 0.630 0.500 [4 per cell]

## Properties
- DFT formation energy (eV/atom) = -0.3168



DFT (meta-GGA SCAN) results for ZrTeI3 at its PBEsol-relaxed geometry.

Lattice parameters (Å, degrees): 5.909 5.909 5.909 90.00 90.00 90.00
Space group Pm-3m (No. 221)
Asymmetric unit:
Zr 0.000 0.000 0.000 [1 per cell]
Te 0.500 0.500 0.500 [1 per cell]
I 0.000 0.500 0.500 [3 per cell]

## Properties
- formation energy from raw total energies (kcal/mol of atoms) = 14.2